1.
# MnTlAg2, optimized geometry, DFT PBE-GGA
data_MnTlAg2
_space_group_name_H-M_alt 'P 1'
_space_group_IT_number 1
_space_group_name_Hall 'P 1'
_cell_length_a 9.473
_cell_length_b 9.473
_cell_length_c 9.473
_cell_angle_alpha 19.42
_cell_angle_beta 19.42
_cell_angle_gamma 19.42
loop_
_atom_site_label
_atom_site_fract_x
_atom_site_fract_y
_atom_site_fract_z
_atom_site_occupancy
Ag1 0.991 0.991 0.991 1
Ag2 0.509 0.509 0.509 1
Mn1 0.250 0.250 0.250 1
Tl1 0.750 0.750 0.750 1
# ΔE to the lowest computed polymorph (meV/atom): 99
# Total moment (μB/cell): 4.2
# Raw total energy (eV for the cell shown): -15.86
# Crystal system: trigonal

2.
# CeTmSn, optimized geometry, DFT PBE-GGA
data_CeTmSn
_space_group_name_H-M_alt 'P 1'
_space_group_IT_number 1
_space_group_name_Hall 'P 1'
_cell_length_a 4.348
_cell_length_b 4.348
_cell_length_c 9.247
_cell_angle_alpha 103.60
_cell_angle_beta 103.60
_cell_angle_gamma 90.00
loop_
_atom_site_label
_atom_site_fract_x
_atom_site_fract_y
_atom_site_fract_z
_atom_site_occupancy
Ce1 0.000 0.500 0.000 1
Ce2 0.500 0.000 0.000 1
Tm1 0.178 0.178 0.355 1
Tm2 0.822 0.822 0.645 1
Sn1 0.357 0.357 0.714 1
Sn2 0.643 0.643 0.286 1
# Total moment (μB/cell): 0.7
# Raw total energy (eV for the cell shown): -32.20
# Crystal system: tetragonal

3.
# Pm3Sm5Er4, optimized geometry, DFT PBE-GGA
data_Pm3Sm5Er4
_space_group_name_H-M_alt 'P 1'
_space_group_IT_number 1
_space_group_name_Hall 'P 1'
_cell_length_a 5.950
_cell_length_b 8.613
_cell_length_c 9.710
_cell_angle_alpha 106.15
_cell_angle_beta 72.16
_cell_angle_gamma 69.80
loop_
_atom_site_label
_atom_site_fract_x
_atom_site_fract_y
_atom_site_fract_z
_atom_site_occupancy
Pm1 0.520 0.688 0.272 1
Pm2 0.000 0.500 0.500 1
Pm3 0.480 0.312 0.728 1
Sm1 0.623 0.953 0.801 1
Sm2 0.500 0.500 0.500 1
Sm3 0.214 0.460 0.113 1
Sm4 0.786 0.540 0.887 1
Sm5 0.377 0.047 0.199 1
Er1 0.860 0.221 0.059 1
Er2 0.165 0.047 0.623 1
Er3 0.835 0.953 0.377 1
Er4 0.140 0.779 0.941 1
# ΔE to the lowest computed polymorph (meV/atom): 210
# Total moment (μB/cell): 0.0
# Raw total energy (eV for the cell shown): -53.38
# Crystal system: monoclinic

> Among the records above, which one has the lowest raw total energy?

Pm3Sm5Er4

> Which of these has the highest total moment?

MnTlAg2